(1)
## LaHo4Cd (GGA-PBE)

Data for a geometry-optimized LaHo4Cd structure.

Cell: 3.609 3.609 14.010 Å, 90.00 90.00 90.00°
Sites, in units of the cell vectors:
Ho 0.000 0.000 0.644
Ho 0.000 0.000 0.356
Ho 0.500 0.500 0.818
Cd 0.500 0.500 0.500
La 0.000 0.000 0.000
Ho 0.500 0.500 0.182

Results
ΔE_f = -0.08 eV per atom
Spin magnetization = 0.0 μB/cell
VASP energy = -24.64 eV for the cell shown
Excess energy over the best structure of this formula in the dataset = 0 meV per atom
Space group = P4/mmm (123)

---

(2)
## Dy2Ga3 (GGA-PBE)

Data for a geometry-optimized Dy2Ga3 structure.

Cell: 4.170 4.167 12.976 Å, 90.00 99.25 90.00°
Last column: magnetic moment on the atom in μB.
Sites, in units of the cell vectors:
Ga 0.175 0.750 0.351  0.00
Ga 0.024 0.250 0.048  0.00
Dy 0.572 0.750 0.145  0.00
Ga 0.976 0.750 0.952  0.00
Dy 0.296 0.750 0.592  0.07
Dy 0.704 0.250 0.408  0.07
Ga 0.825 0.250 0.649  0.00
Dy 0.428 0.250 0.855  0.00
Ga 0.881 0.750 0.762  0.00
Ga 0.119 0.250 0.238  0.00

Results
ΔE_f = -0.64 eV per atom
Spin magnetization = 0.2 μB/cell
VASP energy = -42.93 eV for the cell shown
Space group = Cmcm (63)

---

(3)
## MnSi2Pb (GGA-PBE)

Data for a geometry-optimized MnSi2Pb structure.

Cell: 4.142 4.143 4.433 Å, 90.00 90.00 90.00°
Last column: magnetic moment on the atom in μB.
Sites, in units of the cell vectors:
Pb 0.000 0.500 0.500  -0.03
Si 0.000 0.000 0.000  -0.01
Si 0.500 0.500 0.000  -0.01
Mn 0.500 0.000 0.500  3.75

Results
Spin magnetization = 3.9 μB/cell
VASP energy = -21.27 eV for the cell shown
E_form (uncorrected) = 0.614 eV/atom
Space group = P4/mmm (123)

---

- Which of these has the highest VASP energy?
  MnSi2Pb

---

Please write out number 2 again, unchanged.
## Dy2Ga3 (GGA-PBE)

Data for a geometry-optimized Dy2Ga3 structure.

Cell: 4.170 4.167 12.976 Å, 90.00 99.25 90.00°
Last column: magnetic moment on the atom in μB.
Sites, in units of the cell vectors:
Ga 0.175 0.750 0.351  0.00
Ga 0.024 0.250 0.048  0.00
Dy 0.572 0.750 0.145  0.00
Ga 0.976 0.750 0.952  0.00
Dy 0.296 0.750 0.592  0.07
Dy 0.704 0.250 0.408  0.07
Ga 0.825 0.250 0.649  0.00
Dy 0.428 0.250 0.855  0.00
Ga 0.881 0.750 0.762  0.00
Ga 0.119 0.250 0.238  0.00

Results
ΔE_f = -0.64 eV per atom
Spin magnetization = 0.2 μB/cell
VASP energy = -42.93 eV for the cell shown
Space group = Cmcm (63)

---

- The lowest VASP energy belongs to which entry?
  Dy2Ga3